1.
Pr2InSn9: relaxed, PBE.

Cell: 4.7420 4.7420 14.7196 Å, 90.00 90.00 90.00°
With the nearest neighbours (Å) after each atom.
Sites, in units of the cell vectors:
Pr 0.0000 0.0000 0.6596  12 Sn 3.34-3.51
Pr 0.0000 0.0000 0.3404  12 Sn 3.34-3.51
Sn 0.0000 0.5000 0.1644  8 Sn 3.35-3.40, 2 In 3.39, 2 Pr 3.51
Sn 0.5000 0.5000 0.0000  4 In 3.35, 8 Sn 3.39
Sn 0.5000 0.0000 0.5000  4 Pr 3.34, 8 Sn 3.35-3.44
Sn 0.5000 0.0000 0.8356  8 Sn 3.35-3.40, 2 In 3.39, 2 Pr 3.51
Sn 0.0000 0.5000 0.8356  8 Sn 3.35-3.40, 2 In 3.39, 2 Pr 3.51
Sn 0.5000 0.5000 0.6697  4 Pr 3.36, 8 Sn 3.40-3.44
Sn 0.5000 0.5000 0.3303  4 Pr 3.36, 8 Sn 3.40-3.44
Sn 0.5000 0.0000 0.1644  8 Sn 3.35-3.40, 2 In 3.39, 2 Pr 3.51
Sn 0.0000 0.5000 0.5000  4 Pr 3.34, 8 Sn 3.35-3.44
In 0.0000 0.0000 0.0000  12 Sn 3.35-3.39

For the total energy, the calculation gives -4.34 eV/atom.



2.
Ba2NaTlAs: relaxed, PBE.

Cell: 6.4197 6.4197 5.4445 Å, 90.00 90.00 90.00°
With the nearest neighbours (Å) after each atom.
Sites, in units of the cell vectors:
Na 0.0000 0.0000 0.5000  2 As 2.72
As 0.0000 0.0000 0.0000  2 Na 2.72
Tl 0.5000 0.5000 0.5000  8 Ba 4.21, 4 Na 4.54
Ba 0.5000 0.0000 0.0000  2 As 3.21
Ba 0.0000 0.5000 0.0000  2 As 3.21

For the total energy, the calculation gives -2.86 eV/atom.



Number 1: formation energy -0.32 eV per atom. Number 2: formation energy -0.42 eV per atom.